[1]
Computed, not measured: a relaxed Ac6Ir2SeI2 crystal at the PBE level of DFT. Values from VASP.

Values from the calculation:
Energy relative to the elements, uncorrected = -1016 meV per atom
V = 39.5 Å³ per atom
M_tot = 0.00 μB per cell
Density of states at the Fermi level = 6.0 states/eV per cell

The structure in Quantum ESPRESSO input format:
```
&SYSTEM
  ibrav = 0, nat = 11, ntyp = 4
/
ATOMIC_SPECIES
Ac 227.00 Ac.upf
Ir 192.22 Ir.upf
Se 78.96 Se.upf
I 126.90 I.upf
ATOMIC_POSITIONS crystal
Ac 0.0862 0.4353 0.8058
Ac 0.1921 0.1921 0.2009
Ac 0.4353 0.0862 0.8058
Ac 0.5647 0.9138 0.1942
Ac 0.8079 0.8079 0.7991
Ac 0.9138 0.5647 0.1942
Ir 0.1695 0.8305 0.0000
Ir 0.8305 0.1695 0.0000
Se 0.5000 0.5000 0.0000
I 0.3394 0.6606 0.5000
I 0.6606 0.3394 0.5000
CELL_PARAMETERS angstrom
3.9861 -6.6575 0.0000
3.9861 6.6575 0.0000
-2.3926 0.0000 8.1772
```

---

[2]
Computed, not measured: a relaxed Na6InHg crystal at the PBE level of DFT. Values from VASP.

Values from the calculation:
V = 29.6 Å³ per atom
M_tot = 0.00 μB per cell
Formation energy = -0.09 eV/atom
Density of states at the Fermi level = 4.1 states/eV per cell

The structure in Quantum ESPRESSO input format:
```
&SYSTEM
  ibrav = 0, nat = 8, ntyp = 3
/
ATOMIC_SPECIES
Na 22.99 Na.upf
In 114.82 In.upf
Hg 200.59 Hg.upf
ATOMIC_POSITIONS crystal
Na 0.0000 0.0000 0.0000
Na 0.0000 0.0000 0.5000
Na 0.0000 0.5000 0.2470
Na 0.0000 0.5000 0.7530
Na 0.5000 0.0000 0.2470
Na 0.5000 0.0000 0.7530
In 0.5000 0.5000 0.5000
Hg 0.5000 0.5000 0.0000
CELL_PARAMETERS angstrom
5.0189 0.0000 0.0000
0.0000 5.0189 0.0000
0.0000 0.0000 9.4042
```

---

[3]
Computed, not measured: a relaxed Zr2AlZn crystal at the PBE level of DFT. Values from VASP.

Values from the calculation:
V = 19.0 Å³ per atom
M_tot = 0.00 μB per cell
Formation energy = -0.36 eV/atom
Density of states at the Fermi level = 2.6 states/eV per cell

The structure in Quantum ESPRESSO input format:
```
&SYSTEM
  ibrav = 0, nat = 4, ntyp = 3
/
ATOMIC_SPECIES
Zr 91.22 Zr.upf
Al 26.98 Al.upf
Zn 65.41 Zn.upf
ATOMIC_POSITIONS crystal
Zr 0.0000 0.5000 0.0000
Zr 0.5000 0.0000 0.0000
Al 0.0000 0.0000 0.5000
Zn 0.5000 0.5000 0.5000
CELL_PARAMETERS angstrom
2.9971 -4.0541 0.0000
2.9971 4.0541 0.0000
0.0000 0.0000 3.1308
```

---

[4]
Computed, not measured: a relaxed NaCu5Se2Cl3O8 crystal at the PBE level of DFT. Values from VASP.

Values from the calculation:
Energy relative to the elements, uncorrected = -744 meV per atom
V = 16.3 Å³ per atom
M_tot = 3.99 μB per cell
Density of states at the Fermi level = 17.3 states/eV per cell

The structure in Quantum ESPRESSO input format:
```
&SYSTEM
  ibrav = 0, nat = 76, ntyp = 5
/
ATOMIC_SPECIES
Na 22.99 Na.upf
Cu 63.55 Cu.upf
Se 78.96 Se.upf
Cl 35.45 Cl.upf
O 16.00 O.upf
ATOMIC_POSITIONS crystal
Na 0.0959 0.2500 0.2294
Na 0.4041 0.7500 0.7294
Na 0.5959 0.2500 0.2706
Na 0.9041 0.7500 0.7706
Cu 0.0973 0.7500 0.9995
Cu 0.1288 0.7500 0.4991
Cu 0.2211 0.7500 0.2217
Cu 0.2383 0.5038 0.9648
Cu 0.2383 0.9962 0.9648
Cu 0.2617 0.0038 0.4648
Cu 0.2617 0.4962 0.4648
Cu 0.2789 0.2500 0.7217
Cu 0.3712 0.2500 0.9991
Cu 0.4027 0.2500 0.4995
Cu 0.5973 0.7500 0.5005
Cu 0.6288 0.7500 0.0009
Cu 0.7211 0.7500 0.2783
Cu 0.7383 0.5038 0.5352
Cu 0.7383 0.9962 0.5352
Cu 0.7617 0.0038 0.0352
Cu 0.7617 0.4962 0.0352
Cu 0.7789 0.2500 0.7783
Cu 0.8712 0.2500 0.5009
Cu 0.9027 0.2500 0.0005
Se 0.0702 0.2500 0.9203
Se 0.1134 0.2500 0.5831
Se 0.3866 0.7500 0.0831
Se 0.4298 0.7500 0.4203
Se 0.5702 0.2500 0.5797
Se 0.6134 0.2500 0.9169
Se 0.8866 0.7500 0.4169
Se 0.9298 0.7500 0.0797
Cl 0.0301 0.7500 0.6243
Cl 0.0898 0.7500 0.2440
Cl 0.2460 0.2500 0.2351
Cl 0.2540 0.7500 0.7351
Cl 0.4102 0.2500 0.7440
Cl 0.4699 0.2500 0.1243
Cl 0.5301 0.7500 0.8757
Cl 0.5898 0.7500 0.2560
Cl 0.7460 0.2500 0.2649
Cl 0.7540 0.7500 0.7649
Cl 0.9102 0.2500 0.7560
Cl 0.9699 0.2500 0.3757
O 0.0081 0.2500 0.0450
O 0.1274 0.0462 0.9712
O 0.1274 0.4538 0.9712
O 0.1510 0.0500 0.4901
O 0.1510 0.4500 0.4901
O 0.1687 0.2500 0.7137
O 0.2044 0.7500 0.0429
O 0.2246 0.7500 0.4020
O 0.2754 0.2500 0.9020
O 0.2956 0.2500 0.5429
O 0.3313 0.7500 0.2137
O 0.3490 0.5500 0.9901
O 0.3490 0.9500 0.9901
O 0.3726 0.5462 0.4712
O 0.3726 0.9538 0.4712
O 0.4919 0.7500 0.5450
O 0.5081 0.2500 0.4550
O 0.6274 0.0462 0.5288
O 0.6274 0.4538 0.5288
O 0.6510 0.0500 0.0099
O 0.6510 0.4500 0.0099
O 0.6687 0.2500 0.7863
O 0.7044 0.7500 0.4571
O 0.7246 0.7500 0.0980
O 0.7754 0.2500 0.5980
O 0.7956 0.2500 0.9571
O 0.8313 0.7500 0.2863
O 0.8490 0.5500 0.5099
O 0.8490 0.9500 0.5099
O 0.8726 0.5462 0.0288
O 0.8726 0.9538 0.0288
O 0.9919 0.7500 0.9550
CELL_PARAMETERS angstrom
17.8801 0.0000 0.0000
0.0000 6.5066 0.0000
0.0000 0.0000 10.6734
```

---

[5]
Computed, not measured: a relaxed Re2MoPb crystal at the PBE level of DFT. Values from VASP.

Values from the calculation:
V = 19.7 Å³ per atom
M_tot = 0.00 μB per cell
Formation energy = 1.21 eV/atom
Density of states at the Fermi level = 9.0 states/eV per cell

The structure in Quantum ESPRESSO input format:
```
&SYSTEM
  ibrav = 0, nat = 8, ntyp = 3
/
ATOMIC_SPECIES
Re 186.21 Re.upf
Mo 95.94 Mo.upf
Pb 207.20 Pb.upf
ATOMIC_POSITIONS crystal
Re 0.0500 0.6250 0.9250
Re 0.3750 0.3000 0.4250
Re 0.7000 0.1250 0.0750
Re 0.8750 0.9500 0.5750
Mo 0.0000 0.0000 0.0000
Mo 0.7500 0.2500 0.5000
Pb 0.2500 0.7500 0.5000
Pb 0.5000 0.5000 0.0000
CELL_PARAMETERS angstrom
-2.0645 2.0645 9.2501
2.0645 -2.0645 9.2501
2.0645 2.0645 -9.2501
```

---

[6]
Computed, not measured: a relaxed YSi2Sb crystal at the PBE level of DFT. Values from VASP.

Values from the calculation:
Energy relative to the elements, uncorrected = -108 meV per atom
V = 21.4 Å³ per atom
M_tot = 0.00 μB per cell
Density of states at the Fermi level = 2.5 states/eV per cell

The structure in Quantum ESPRESSO input format:
```
&SYSTEM
  ibrav = 0, nat = 4, ntyp = 3
/
ATOMIC_SPECIES
Y 88.91 Y.upf
Si 28.09 Si.upf
Sb 121.76 Sb.upf
ATOMIC_POSITIONS crystal
Y 0.0000 0.0000 0.0000
Si 0.5000 0.5000 0.2809
Si 0.5000 0.5000 0.7191
Sb 0.0000 0.0000 0.5000
CELL_PARAMETERS angstrom
3.7778 0.0000 0.0000
0.0000 3.7778 0.0000
0.0000 0.0000 5.9874
```

---

[7]
Computed, not measured: a relaxed KNpAs2S8 crystal at the PBE level of DFT. Values from VASP.

Values from the calculation:
Energy relative to the elements, uncorrected = -384 meV per atom
V = 27.9 Å³ per atom
M_tot = 1.99 μB per cell
Density of states at the Fermi level = 7.7 states/eV per cell

The structure in Quantum ESPRESSO input format:
```
&SYSTEM
  ibrav = 0, nat = 12, ntyp = 4
/
ATOMIC_SPECIES
K 39.10 K.upf
Np 237.00 Np.upf
As 74.92 As.upf
S 32.06 S.upf
ATOMIC_POSITIONS crystal
K 0.0000 0.0000 0.0000
Np 0.5000 0.5000 0.5000
As 0.2435 0.2435 0.2435
As 0.7565 0.7565 0.7565
S 0.1126 0.4377 0.7960
S 0.2040 0.8874 0.5623
S 0.3148 0.3148 0.3148
S 0.4377 0.7960 0.1126
S 0.5623 0.2040 0.8874
S 0.6852 0.6852 0.6852
S 0.7960 0.1126 0.4377
S 0.8874 0.5623 0.2040
CELL_PARAMETERS angstrom
3.1403 1.8131 9.8115
-3.1403 1.8131 9.8115
0.0000 -3.6261 9.8115
```

---

[8]
Computed, not measured: a relaxed RbAg6Cl12 crystal at the PBE level of DFT. Values from VASP.

Values from the calculation:
Energy relative to the elements, uncorrected = -535 meV per atom
V = 27.0 Å³ per atom
M_tot = 0.00 μB per cell
Density of states at the Fermi level = 10.0 states/eV per cell

The structure in Quantum ESPRESSO input format:
```
&SYSTEM
  ibrav = 0, nat = 19, ntyp = 3
/
ATOMIC_SPECIES
Rb 85.47 Rb.upf
Ag 107.87 Ag.upf
Cl 35.45 Cl.upf
ATOMIC_POSITIONS crystal
Rb 0.0000 0.0000 0.0000
Ag 0.2520 0.2594 0.7428
Ag 0.2572 0.7480 0.7406
Ag 0.2594 0.7428 0.2520
Ag 0.7406 0.2572 0.7480
Ag 0.7428 0.2520 0.2594
Ag 0.7480 0.7406 0.2572
Cl 0.0802 0.8913 0.3259
Cl 0.1087 0.6741 0.9198
Cl 0.1714 0.4116 0.5653
Cl 0.3259 0.0802 0.8913
Cl 0.4116 0.5653 0.1714
Cl 0.4347 0.8286 0.5884
Cl 0.5653 0.1714 0.4116
Cl 0.5884 0.4347 0.8286
Cl 0.6741 0.9198 0.1087
Cl 0.8286 0.5884 0.4347
Cl 0.8913 0.3259 0.0802
Cl 0.9198 0.1087 0.6741
CELL_PARAMETERS angstrom
7.3295 4.2317 2.7524
-7.3295 4.2317 2.7524
0.0000 -8.4634 2.7524
```

---

[9]
Computed, not measured: a relaxed TaGaRuRh crystal at the PBE level of DFT. Values from VASP.

Values from the calculation:
V = 15.0 Å³ per atom
M_tot = 0.00 μB per cell
Formation energy = -0.57 eV/atom
Density of states at the Fermi level = 0.9 states/eV per cell

The structure in Quantum ESPRESSO input format:
```
&SYSTEM
  ibrav = 0, nat = 4, ntyp = 4
/
ATOMIC_SPECIES
Ta 180.95 Ta.upf
Ga 69.72 Ga.upf
Ru 101.07 Ru.upf
Rh 102.91 Rh.upf
ATOMIC_POSITIONS crystal
Ta 0.0000 0.0000 0.0000
Ga 0.5000 0.5000 0.0000
Ru 0.7500 0.2500 0.5000
Rh 0.2500 0.7500 0.5000
CELL_PARAMETERS angstrom
-2.0887 2.0887 3.4481
2.0887 -2.0887 3.4481
2.0887 2.0887 -3.4481
```

---

[10]
Computed, not measured: a relaxed La5DyN6 crystal at the PBE level of DFT. Values from VASP.

Values from the calculation:
Energy relative to the elements, uncorrected = -1359 meV per atom
V = 18.0 Å³ per atom
M_tot = 0.00 μB per cell
Density of states at the Fermi level = 0.1 states/eV per cell

The structure in Quantum ESPRESSO input format:
```
&SYSTEM
  ibrav = 0, nat = 12, ntyp = 3
/
ATOMIC_SPECIES
La 138.91 La.upf
Dy 162.50 Dy.upf
N 14.01 N.upf
ATOMIC_POSITIONS crystal
La 0.0000 0.0000 0.0000
La 0.1674 0.8326 0.5000
La 0.3362 0.6638 0.0000
La 0.6638 0.3362 0.0000
La 0.8326 0.1674 0.5000
Dy 0.5000 0.5000 0.5000
N 0.0981 0.4188 0.2569
N 0.2608 0.2608 0.7476
N 0.4188 0.0981 0.2569
N 0.5812 0.9019 0.7431
N 0.7392 0.7392 0.2524
N 0.9019 0.5812 0.7431
CELL_PARAMETERS angstrom
3.2108 -5.5677 0.0000
3.2108 5.5677 0.0000
-2.1252 0.0000 6.0477
```

---

[11]
Computed, not measured: a relaxed Tm7Fe2Bi2 crystal at the PBE level of DFT. Values from VASP.

Values from the calculation:
V = 25.9 Å³ per atom
M_tot = 0.68 μB per cell
Formation energy = -0.26 eV/atom
Density of states at the Fermi level = 10.1 states/eV per cell

The structure in Quantum ESPRESSO input format:
```
&SYSTEM
  ibrav = 0, nat = 11, ntyp = 3
/
ATOMIC_SPECIES
Tm 168.93 Tm.upf
Fe 55.84 Fe.upf
Bi 208.98 Bi.upf
ATOMIC_POSITIONS crystal
Tm 0.0000 0.0000 0.0000
Tm 0.0497 0.3659 0.6838
Tm 0.0624 0.7201 0.3422
Tm 0.3779 0.7201 0.6578
Tm 0.4235 0.5615 0.8619
Tm 0.6821 0.3659 0.3162
Tm 0.6996 0.5615 0.1381
Fe 0.2979 0.0581 0.2398
Fe 0.8184 0.0581 0.7602
Bi 0.3249 0.3249 0.0000
Bi 0.7259 0.2259 0.5000
CELL_PARAMETERS angstrom
-1.8299 8.1502 4.7716
1.8299 -8.1502 4.7716
1.8299 8.1502 -4.7716
```

---

[12]
Computed, not measured: a relaxed LaMn3Co crystal at the PBE level of DFT. Values from VASP.

Values from the calculation:
V = 16.5 Å³ per atom
M_tot = 0.00 μB per cell
Formation energy = 0.91 eV/atom
Energy above the lowest structure with this stoichiometry = 0 meV/atom
Density of states at the Fermi level = 13.0 states/eV per cell

The structure in Quantum ESPRESSO input format:
```
&SYSTEM
  ibrav = 0, nat = 5, ntyp = 3
/
ATOMIC_SPECIES
La 138.91 La.upf
Mn 54.94 Mn.upf
Co 58.93 Co.upf
ATOMIC_POSITIONS crystal
La 0.0000 0.0000 0.0000
Mn 0.0000 0.5000 0.5000
Mn 0.5000 0.0000 0.5000
Mn 0.5000 0.5000 0.0000
Co 0.5000 0.5000 0.5000
CELL_PARAMETERS angstrom
4.3514 0.0000 0.0000
0.0000 4.3514 0.0000
0.0000 0.0000 4.3514
```

---

Question: The highest density of states at the Fermi level belongs to which entry?
Answer: NaCu5Se2Cl3O8